Density functional theory data (PBE) for an optimized crystal structure of TiTl2F6.

Calculated values
E_form (uncorrected) = -63.989 kcal/mol of atoms
total moment = 0.0 μB per cell
VASP energy = -97.7 eV/cell
SG = No. 14

Geometry as CIF:
```
data_TiTl2F6
_cell_length_a 6.1333
_cell_length_b 7.4632
_cell_length_c 7.9104
_cell_angle_alpha 90.00
_cell_angle_beta 90.00
_cell_angle_gamma 108.92
_space_group_name_H-M_alt 'P 1'
_space_group_IT_number 1
loop_
_space_group_symop_operation_xyz
'x,y,z'
loop_
_atom_site_label
_atom_site_type_symbol
_atom_site_fract_x
_atom_site_fract_y
_atom_site_fract_z
Ti1 Ti 0.5000 0.0000 0.5000
Ti2 Ti 0.0000 0.5000 0.0000
Tl1 Tl 0.1351 0.3193 0.5562
Tl2 Tl 0.3649 0.1807 0.0562
Tl3 Tl 0.6351 0.8193 0.9438
Tl4 Tl 0.8649 0.6807 0.4438
F1 F 0.1497 0.7617 0.0353
F2 F 0.1220 0.4440 0.2054
F3 F 0.2340 0.0197 0.3845
F4 F 0.2660 0.4803 0.8845
F5 F 0.3780 0.0560 0.7054
F6 F 0.3503 0.7383 0.5353
F7 F 0.8503 0.2383 0.9647
F8 F 0.8780 0.5560 0.7946
F9 F 0.7660 0.9803 0.6155
F10 F 0.7340 0.5197 0.1155
F11 F 0.6220 0.9440 0.2946
F12 F 0.6497 0.2617 0.4647
```